The following is a PBE-GGA calculation of crystalline CsPuBr3 at its relaxed geometry, from Alexandria.

Lattice parameters (Å, degrees): 5.891 5.891 5.891 90.00 90.00 90.00
Fractional coordinates of all 5 atoms:
Cs1 0.000 0.000 0.000
Pu1 0.500 0.500 0.500
Br1 0.000 0.500 0.500
Br2 0.500 0.000 0.500
Br3 0.500 0.500 0.000

Properties
* energy relative to the elements, uncorrected: -1560.6 meV per atom
* offset from the most stable computed form: 29 meV/atom
* N(E_F): 3.353 states/eV per atom
* E_tot: -5.601 eV/atom

The following is a PBE-GGA calculation of crystalline NaDyPd2 at its relaxed geometry, from Alexandria.

Lattice parameters (Å, degrees): 4.840 4.840 4.840 60.00 60.00 60.00
Fractional coordinates of all 4 atoms:
Na1 0.000 0.000 0.000
Dy1 0.500 0.500 0.500
Pd1 0.250 0.250 0.250
Pd2 0.750 0.750 0.750

Properties
* offset from the most stable computed form: 29 meV/atom
* energy of formation from the pure elements: -0.52 eV per atom
* N(E_F): 0.739 states/eV per atom
* E_tot: -4.592 eV/atom